Entry 1:
Below is an optimized crystal structure of MgFe2As, with properties calculated at the PBE-GGA level. Values from VASP.

## Properties
The formation energy is 200 meV/atom. The energy is -22.37 eV per cell.

Geometry as Quantum ESPRESSO input:
```
&SYSTEM
  ibrav = 0, nat = 4, ntyp = 3
/
ATOMIC_SPECIES
As 74.92 As.upf
Fe 55.84 Fe.upf
Mg 24.30 Mg.upf
CELL_PARAMETERS angstrom
-3.627 0.059 -3.707
3.333 -3.974 0.011
-1.591 -2.286 0.499
ATOMIC_POSITIONS angstrom
As 0.871 -3.130 0.255
Fe 0.000 0.000 0.000
Fe -0.147 -1.957 -1.848
Mg -2.609 -1.114 -1.604
```

Entry 2:
Below is an optimized crystal structure of LiDy2SnO5, with properties calculated at the PBE-GGA level. Values from VASP.

## Properties
For the energy relative to the elements, uncorrected, the calculation gives -20.5 eV per formula unit. The energy is -120.92 eV per cell.

Geometry as Quantum ESPRESSO input:
```
&SYSTEM
  ibrav = 0, nat = 18, ntyp = 4
/
ATOMIC_SPECIES
Li 6.94 Li.upf
Dy 162.50 Dy.upf
Sn 118.71 Sn.upf
O 16.00 O.upf
CELL_PARAMETERS angstrom
-1.524 4.796 3.481
2.335 -3.086 5.273
5.889 2.642 -1.062
ATOMIC_POSITIONS angstrom
Li 4.112 -0.222 2.106
Li 0.000 0.000 0.000
Dy 1.863 0.776 5.124
Dy 1.553 2.704 2.332
Dy 5.147 1.648 5.361
Dy 4.837 3.575 2.569
Sn 2.944 1.321 -0.531
Sn 1.168 -1.543 2.637
O 3.350 2.176 3.847
O -0.762 2.398 1.741
O 3.730 2.512 0.986
O 3.697 -0.446 5.047
O 1.281 0.536 2.635
O 6.146 1.529 3.398
O 3.003 4.798 2.646
O 5.420 3.815 5.058
O 2.970 1.840 6.707
O 0.554 2.823 4.295
```

Entry 3:
Below is an optimized crystal structure of SmLuZrIn, with properties calculated at the PBE-GGA level. Values from VASP.

## Properties
The formation energy is -61 meV/atom. The energy is -20.77 eV per cell.

Geometry as Quantum ESPRESSO input:
```
&SYSTEM
  ibrav = 0, nat = 4, ntyp = 4
/
ATOMIC_SPECIES
Lu 174.97 Lu.upf
Zr 91.22 Zr.upf
Sm 150.36 Sm.upf
In 114.82 In.upf
CELL_PARAMETERS angstrom
-3.653 -1.099 -3.644
1.359 -0.308 -5.088
0.034 -4.676 -2.443
ATOMIC_POSITIONS angstrom
Lu 0.000 0.000 0.000
Zr -0.565 -1.521 -2.794
Sm -1.695 -4.562 -8.381
In -1.130 -3.041 -5.588
```

Entry 4:
Below is an optimized crystal structure of Zn2TcNi, with properties calculated at the PBE-GGA level. Values from VASP.

## Properties
The formation energy is 74 meV/atom. For the energy above the lowest structure with this stoichiometry, the calculation gives 0.109 eV/atom. The energy is -18.40 eV per cell.

Geometry as Quantum ESPRESSO input:
```
&SYSTEM
  ibrav = 0, nat = 4, ntyp = 3
/
ATOMIC_SPECIES
Ni 58.69 Ni.upf
Tc 98.00 Tc.upf
Zn 65.41 Zn.upf
CELL_PARAMETERS angstrom
-3.567 1.711 -1.885
1.665 -0.887 -3.955
-1.225 -2.504 0.045
ATOMIC_POSITIONS angstrom
Ni -2.396 -0.396 -0.920
Tc 0.220 -1.695 -1.955
Zn 0.000 0.000 0.000
Zn -0.951 0.412 -2.920
```

Entry 5:
Below is an optimized crystal structure of In2GaBr2, with properties calculated at the PBE-GGA level. Values from VASP.

## Properties
For the energy relative to the elements, uncorrected, the calculation gives -2.1 eV per formula unit. For the energy above the lowest structure with this stoichiometry, the calculation gives 0.038 eV/atom. The energy is -55.66 eV per cell.

Geometry as Quantum ESPRESSO input:
```
&SYSTEM
  ibrav = 0, nat = 20, ntyp = 3
/
ATOMIC_SPECIES
Br 79.90 Br.upf
Ga 69.72 Ga.upf
In 114.82 In.upf
CELL_PARAMETERS angstrom
11.271 0.000 0.011
0.000 5.109 0.000
-8.392 0.000 11.028
ATOMIC_POSITIONS angstrom
Br -0.324 0.000 10.698
Br 3.873 2.555 5.184
Br 0.487 0.000 5.479
Br -3.709 2.555 10.993
Br 6.064 0.000 3.220
Br 1.868 2.555 8.734
Br 2.445 0.000 2.099
Br -1.751 2.555 7.613
Ga 6.834 0.000 5.696
Ga 11.030 2.555 0.181
Ga 10.284 0.000 1.078
Ga 6.087 2.555 6.592
In 3.038 0.000 7.061
In 7.234 2.555 1.547
In -6.866 0.000 10.564
In -2.669 2.555 5.050
In -3.066 0.000 9.013
In 1.130 2.555 3.499
In -1.896 0.000 3.735
In -6.093 2.555 9.249
```

Entry 6:
Below is an optimized crystal structure of AgSb, with properties calculated at the PBE-GGA level. Values from VASP.

## Properties
For the energy relative to the elements, uncorrected, the calculation gives 0.2 eV per formula unit. For the energy above the lowest structure with this stoichiometry, the calculation gives 0.037 eV/atom. The energy is -13.48 eV per cell.

Geometry as Quantum ESPRESSO input:
```
&SYSTEM
  ibrav = 0, nat = 4, ntyp = 2
/
ATOMIC_SPECIES
Sb 121.76 Sb.upf
Ag 107.87 Ag.upf
CELL_PARAMETERS angstrom
3.151 -0.010 0.034
1.453 5.339 0.026
1.532 1.257 5.508
ATOMIC_POSITIONS angstrom
Sb 3.080 2.558 4.434
Sb 3.055 4.028 1.133
Ag 1.555 1.536 1.903
Ag 4.579 5.050 3.665
```

Entry 7:
Below is an optimized crystal structure of Tb2Pm6Y3Pu, with properties calculated at the PBE-GGA level. Values from VASP.

## Properties
The formation energy is 45 meV/atom. The energy is -70.95 eV per cell.

Geometry as Quantum ESPRESSO input:
```
&SYSTEM
  ibrav = 0, nat = 12, ntyp = 4
/
ATOMIC_SPECIES
Tb 158.93 Tb.upf
Pm 145.00 Pm.upf
Y 88.91 Y.upf
Pu 244.00 Pu.upf
CELL_PARAMETERS angstrom
-2.790 5.535 -0.780
-3.081 -5.269 -1.331
-1.994 -0.541 11.650
ATOMIC_POSITIONS angstrom
Tb -2.984 -1.666 -1.147
Tb -2.887 1.932 -0.963
Pm -5.872 1.575 7.266
Pm -4.911 0.066 1.296
Pm -1.993 -1.850 2.273
Pm -5.968 -1.988 7.085
Pm -2.954 -0.341 8.244
Pm -1.897 1.713 2.455
Y -4.030 -3.738 4.586
Y -3.835 3.463 4.953
Y -3.932 -0.137 4.770
Pu 0.000 0.000 0.000
```

Entry 8:
Below is an optimized crystal structure of RbAu3N, with properties calculated at the PBE-GGA level. Values from VASP.

## Properties
For the energy relative to the elements, uncorrected, the calculation gives 10.5 eV per formula unit. For the energy above the lowest structure with this stoichiometry, the calculation gives 1.530 eV/atom. The energy is -8.62 eV per cell.

Geometry as Quantum ESPRESSO input:
```
&SYSTEM
  ibrav = 0, nat = 5, ntyp = 3
/
ATOMIC_SPECIES
Au 196.97 Au.upf
Rb 85.47 Rb.upf
N 14.01 N.upf
CELL_PARAMETERS angstrom
6.616 0.000 0.000
0.000 6.616 0.000
0.000 0.000 6.616
ATOMIC_POSITIONS angstrom
Au 0.000 3.308 0.000
Au 0.000 0.000 3.308
Au 3.308 0.000 0.000
Rb 0.000 0.000 0.000
N 3.308 3.308 3.308
```

Entry 9:
Below is an optimized crystal structure of Y2CrRhC, with properties calculated at the PBE-GGA level. Values from VASP.

## Properties
The formation energy is -302 meV/atom. The energy is -40.64 eV per cell.

Geometry as Quantum ESPRESSO input:
```
&SYSTEM
  ibrav = 0, nat = 5, ntyp = 4
/
ATOMIC_SPECIES
Y 88.91 Y.upf
Cr 52.00 Cr.upf
C 12.01 C.upf
Rh 102.91 Rh.upf
CELL_PARAMETERS angstrom
-0.994 -1.611 4.539
-2.256 -3.939 -1.892
3.296 -1.910 0.044
ATOMIC_POSITIONS angstrom
Y -1.128 -1.969 -0.946
Y -0.497 -0.806 2.269
Cr 1.648 -0.955 0.022
C 0.000 0.000 0.000
Rh 0.023 -3.730 1.345
```

Entry 10:
Below is an optimized crystal structure of TmSc2UAs4, with properties calculated at the PBE-GGA level. Values from VASP.

## Properties
The formation energy is -1239 meV/atom. The energy is -56.94 eV per cell.

Geometry as Quantum ESPRESSO input:
```
&SYSTEM
  ibrav = 0, nat = 8, ntyp = 4
/
ATOMIC_SPECIES
Tm 168.93 Tm.upf
Sc 44.96 Sc.upf
U 238.03 U.upf
As 74.92 As.upf
CELL_PARAMETERS angstrom
3.968 0.000 0.000
0.000 6.871 -0.145
0.000 2.412 6.460
ATOMIC_POSITIONS angstrom
Tm 0.000 4.641 3.157
Sc 0.000 2.412 6.460
Sc 1.984 1.206 3.230
U 1.984 3.436 -0.072
As 0.000 7.037 4.703
As 3.968 2.246 1.612
As 1.984 5.813 1.472
As 1.984 3.470 4.843
```

Entry 11:
Below is an optimized crystal structure of Na2LiCu, with properties calculated at the PBE-GGA level. Values from VASP.

## Properties
The formation energy is 221 meV/atom. For the energy above the lowest structure with this stoichiometry, the calculation gives 0.000 eV/atom. The energy is -7.76 eV per cell.

Geometry as Quantum ESPRESSO input:
```
&SYSTEM
  ibrav = 0, nat = 4, ntyp = 3
/
ATOMIC_SPECIES
Na 22.99 Na.upf
Cu 63.55 Cu.upf
Li 6.94 Li.upf
CELL_PARAMETERS angstrom
-2.080 1.981 4.129
-3.510 3.578 -0.421
-4.789 -1.028 1.144
ATOMIC_POSITIONS angstrom
Na -2.595 1.133 1.213
Na -7.785 3.398 3.639
Cu -5.190 2.265 2.426
Li 0.000 0.000 0.000
```

Entry 12:
Below is an optimized crystal structure of Nd3SiTe2, with properties calculated at the PBE-GGA level. Values from VASP.

## Properties
For the energy relative to the elements, uncorrected, the calculation gives -7.6 eV per formula unit. For the energy above the lowest structure with this stoichiometry, the calculation gives 0.014 eV/atom. The energy is -67.13 eV per cell.

Geometry as Quantum ESPRESSO input:
```
&SYSTEM
  ibrav = 0, nat = 12, ntyp = 3
/
ATOMIC_SPECIES
Nd 144.24 Nd.upf
Si 28.09 Si.upf
Te 127.60 Te.upf
CELL_PARAMETERS angstrom
-2.708 3.862 5.989
-6.521 -3.176 -2.565
5.199 -4.429 3.541
ATOMIC_POSITIONS angstrom
Nd 0.490 -2.209 0.748
Nd -2.604 -0.092 2.836
Nd -3.260 -1.588 -1.283
Nd -4.519 -1.534 6.216
Nd 1.246 -0.284 4.765
Nd -1.425 -3.651 4.129
Si -2.371 -2.727 1.446
Si -1.657 -1.017 5.518
Te -6.242 -2.313 -0.570
Te 1.684 -3.160 3.559
Te 2.213 -1.431 7.535
Te -5.713 -0.583 3.405
```

Entry 13:
Below is an optimized crystal structure of NdSbN, with properties calculated at the PBE-GGA level. Values from VASP.

## Properties
For the energy relative to the elements, uncorrected, the calculation gives -2.1 eV per formula unit. For the energy above the lowest structure with this stoichiometry, the calculation gives 0.006 eV/atom. The energy is -38.55 eV per cell.

Geometry as Quantum ESPRESSO input:
```
&SYSTEM
  ibrav = 0, nat = 6, ntyp = 3
/
ATOMIC_SPECIES
Nd 144.24 Nd.upf
Sb 121.76 Sb.upf
N 14.01 N.upf
CELL_PARAMETERS angstrom
-0.448 3.678 1.962
-1.674 -1.966 3.303
7.530 -0.849 3.312
ATOMIC_POSITIONS angstrom
Nd 1.955 -1.298 2.880
Nd 4.513 1.305 3.065
Sb 6.248 -1.782 4.768
Sb 0.221 1.789 1.177
N 2.704 0.432 4.288
N 3.765 -0.425 1.656
```